HfTa2W | GGA-PBE | optimized geometry

Lattice parameters (Å, degrees): 9.2837 9.2837 9.2837 19.28 19.28 19.28
Last column: nearest neighbours and their distance in Å.
Element x y z (fractional)
Hf 0.0000 0.0000 0.0000  6 Ta 3.06, 6 Hf 3.11
Ta 0.2428 0.2428 0.2428  3 W 2.75, 3 Hf 3.06
Ta 0.7572 0.7572 0.7572  3 W 2.75, 3 Hf 3.06
W 0.5000 0.5000 0.5000  6 Ta 2.75

Calculated values
Formation energy from the elements ... 0.2783 eV/atom
Spin magnetization ... 0.000 μB/atom
E above lowest polymorph ... 24.07 kJ/mol of atoms